Density functional theory data (PBE) for crystalline AlAgCl2 at its relaxed geometry.

As for the raw formation energy: -0.29 eV/atom. The value obtained for the density of states at the Fermi level is 0.03 states/eV per atom. Its crystal system is orthorhombic. For the total magnetic moment, the calculation gives 0.00 μB/cell.

The structure belongs to space group Cmmm (No. 65); the cell edges are 4.0274, 6.2260 and 7.6531 Å and the angles 90.00°, 90.00° and 90.00°. The inequivalent atoms are Al at (0.0000, 0.0000, 0.0000), Ag at (0.0000, 0.0000, 0.5000) and Cl at (0.0000, 0.5000, 0.2663).